No. 1
The following is a PBE calculation of a geometry-optimized HfTe2 structure, from OQMD via LeMat-Bulk.

Cell lengths 8.7616, 8.7616, 8.7616 Å; angles 60.00, 60.00, 60.00 degrees
Last column: nearest neighbours and their distance in Å.
Fractional coordinates of all 6 atoms:
Hf 0.1250 0.1250 0.1250  4 Te 2.68
Hf 0.8750 0.8750 0.8750  4 Te 2.68
Te 0.0000 0.0000 0.0000  2 Hf 2.68
Te 0.0000 0.0000 0.5000  2 Hf 2.68
Te 0.0000 0.5000 0.0000  2 Hf 2.68
Te 0.5000 0.0000 0.0000  2 Hf 2.68

The calculation puts the density at 3.03 Mg/m³. The value obtained for the calculated total energy is -34.484 eV/cell. As for the space group: Fd-3m, No. 227.

No. 2
The following is a PBE calculation of a geometry-optimized SrHf31O64 structure, from OQMD via LeMat-Bulk.

Cell lengths 10.0120, 10.1448, 10.4590 Å; angles 89.99, 89.97, 89.97 degrees
Last column: nearest neighbours and their distance in Å.
Fractional coordinates of all 96 atoms:
Sr 0.0000 0.0000 0.0000  7 O 2.30-2.46
Hf 0.2553 0.4956 0.2434  7 O 2.03-2.22
Hf 0.2557 0.2464 0.5284  7 O 2.05-2.21
Hf 0.2564 0.4958 0.7409  7 O 2.02-2.21
Hf 0.2561 0.7424 0.5285  7 O 2.04-2.22
Hf 0.2583 0.2504 0.0282  7 O 1.99-2.19
Hf 0.2595 0.0005 0.2501  7 O 2.04-2.28
Hf 0.2596 0.7372 0.0277  6 O 2.02-2.23
Hf 0.2663 0.9978 0.7415  7 O 2.00-2.19
Hf 0.4846 0.7370 0.2827  7 O 2.04-2.18
Hf 0.4866 0.9922 0.9922  7 O 2.02-2.23
Hf 0.4884 0.2427 0.7782  7 O 2.03-2.24
Hf 0.4882 0.4892 0.4934  7 O 2.03-2.22
Hf 0.4883 0.7409 0.7770  7 O 2.03-2.22
Hf 0.4885 0.2433 0.2770  7 O 2.03-2.23
Hf 0.4893 0.4907 0.9923  7 O 2.04-2.23
Hf 0.4901 0.9922 0.4929  7 O 2.02-2.25
Hf 0.7541 0.9932 0.2431  7 O 2.04-2.21
Hf 0.7557 0.2420 0.5287  7 O 2.04-2.22
Hf 0.7564 0.4919 0.7424  7 O 2.04-2.21
Hf 0.7558 0.7412 0.5279  7 O 2.05-2.20
Hf 0.7569 0.4915 0.2396  7 O 2.06-2.20
Hf 0.7577 0.2409 0.0265  7 O 2.06-2.17
Hf 0.7576 0.7429 0.0236  7 O 2.05-2.25
Hf 0.7584 0.9922 0.7449  7 O 2.06-2.23
Hf 0.9811 0.9960 0.4916  7 O 2.08-2.18
Hf 0.9836 0.2458 0.2794  7 O 2.07-2.20
Hf 0.9855 0.7432 0.7754  7 O 2.07-2.19
Hf 0.9852 0.7442 0.2766  7 O 2.05-2.24
Hf 0.9858 0.2499 0.7754  7 O 2.03-2.22
Hf 0.9869 0.4962 0.4911  7 O 2.05-2.22
Hf 0.9877 0.4945 0.9915  7 O 2.05-2.24
O 0.0779 0.4440 0.8167  3 Hf 2.02-2.22
O 0.0814 0.4312 0.3224  3 Hf 2.03-2.17
O 0.0813 0.6816 0.4471  3 Hf 2.04-2.15
O 0.0808 0.9330 0.3206  3 Hf 2.05-2.19
O 0.0823 0.6889 0.9477  3 Hf 2.02-2.24
O 0.0839 0.1794 0.4445  3 Hf 2.05-2.18
O 0.0853 0.2156 0.9408  2 Hf 1.99-2.03
O 0.0905 0.9228 0.7967  2 Hf 2.00-2.12
O 0.1550 0.1770 0.1916  3 Hf 2.07-2.16
O 0.1602 0.9321 0.5713  3 Hf 2.08-2.20
O 0.1612 0.4308 0.5709  3 Hf 2.05-2.14
O 0.1620 0.1818 0.6954  3 Hf 2.07-2.19
O 0.1618 0.6787 0.6942  3 Hf 2.07-2.14
O 0.1620 0.6812 0.1981  3 Hf 2.05-2.15
O 0.1652 0.4393 0.0721  3 Hf 2.05-2.18
O 0.2010 0.9250 0.0782  2 Hf 2.04-2.06, 1 O 2.24
O 0.3468 0.1177 0.8920  4 Hf 2.15-2.24
O 0.3465 0.8665 0.3812  4 Hf 2.12-2.25
O 0.3476 0.6152 0.3928  4 Hf 2.13-2.18
O 0.3489 0.3669 0.3785  4 Hf 2.14-2.22
O 0.3488 0.3678 0.8781  4 Hf 2.15-2.23
O 0.3504 0.1189 0.3934  4 Hf 2.13-2.23
O 0.3505 0.6150 0.8896  4 Hf 2.11-2.22
O 0.3506 0.8654 0.8775  4 Hf 2.13-2.23
O 0.3941 0.3707 0.1410  4 Hf 2.14-2.19
O 0.3953 0.1210 0.1324  4 Hf 2.17-2.20
O 0.3949 0.3694 0.6401  4 Hf 2.15-2.21
O 0.3950 0.8693 0.6381  4 Hf 2.13-2.22
O 0.3959 0.6190 0.6294  4 Hf 2.15-2.21
O 0.3970 0.1210 0.6286  4 Hf 2.14-2.19
O 0.3965 0.6177 0.1310  4 Hf 2.12-2.22
O 0.4064 0.8690 0.1421  4 Hf 2.14-2.32, 1 O 2.24
O 0.5794 0.0552 0.8216  3 Hf 2.06-2.16
O 0.5807 0.0576 0.3241  3 Hf 2.04-2.15
O 0.5808 0.3057 0.9474  3 Hf 2.06-2.14
O 0.5825 0.3060 0.4473  3 Hf 2.04-2.14
O 0.5819 0.8060 0.9449  3 Hf 2.05-2.17
O 0.5828 0.5564 0.3242  3 Hf 2.06-2.12
O 0.5833 0.5560 0.8235  3 Hf 2.04-2.16
O 0.5825 0.8067 0.4451  3 Hf 2.05-2.16
O 0.6480 0.8102 0.1908  3 Hf 2.04-2.21
O 0.6584 0.8059 0.6928  3 Hf 2.03-2.21
O 0.6589 0.0562 0.0718  3 Hf 2.02-2.17
O 0.6589 0.3107 0.1956  3 Hf 2.03-2.15
O 0.6605 0.3075 0.6969  3 Hf 2.03-2.16
O 0.6609 0.5556 0.5727  3 Hf 2.03-2.16
O 0.6615 0.5581 0.0728  3 Hf 2.04-2.17
O 0.6615 0.0566 0.5739  3 Hf 2.02-2.16
O 0.8412 0.1294 0.8726  3 Hf 2.10-2.15
O 0.8418 0.8629 0.8803  3 Hf 2.10-2.18
O 0.8460 0.8697 0.3914  4 Hf 2.13-2.24
O 0.8470 0.1193 0.3851  4 Hf 2.15-2.18
O 0.8469 0.3731 0.8900  4 Hf 2.15-2.22
O 0.8478 0.3699 0.3901  4 Hf 2.15-2.20
O 0.8479 0.6197 0.3776  4 Hf 2.14-2.22
O 0.8496 0.6180 0.8801  4 Hf 2.14-2.20
O 0.8790 0.1271 0.1531  3 Hf 2.07-2.14
O 0.8810 0.8596 0.1414  3 Hf 2.11-2.14
O 0.8939 0.3685 0.6276  4 Hf 2.14-2.21
O 0.8935 0.6172 0.6393  4 Hf 2.12-2.20
O 0.8940 0.8663 0.6271  4 Hf 2.12-2.23
O 0.8959 0.3687 0.1280  4 Hf 2.12-2.20
O 0.8967 0.1168 0.6394  4 Hf 2.15-2.22
O 0.8966 0.6155 0.1385  4 Hf 2.14-2.25

The calculation puts the density at 10.39 Mg/m³. The value obtained for the calculated total energy is -958.728 eV/cell. As for the space group: P1, No. 1.

No. 3
The following is a PBE calculation of a geometry-optimized NdDy structure, from OQMD via LeMat-Bulk.

Cell lengths 5.0000, 5.0000, 5.0000 Å; angles 60.00, 60.00, 60.00 degrees
Last column: nearest neighbours and their distance in Å.
Fractional coordinates of all 2 atoms:
Nd 0.0000 0.0000 0.0000  4 Dy 3.06
Dy 0.2500 0.2500 0.2500  4 Nd 3.06

The calculation puts the density at 5.76 Mg/m³. The energy of formation from the pure elements comes out at 40.17 kcal/mol of atoms. As for the space group: F-43m, No. 216.

Please write out number 1 again, unchanged.
The following is a PBE calculation of a geometry-optimized HfTe2 structure, from OQMD via LeMat-Bulk.

Cell lengths 8.7616, 8.7616, 8.7616 Å; angles 60.00, 60.00, 60.00 degrees
Last column: nearest neighbours and their distance in Å.
Fractional coordinates of all 6 atoms:
Hf 0.1250 0.1250 0.1250  4 Te 2.68
Hf 0.8750 0.8750 0.8750  4 Te 2.68
Te 0.0000 0.0000 0.0000  2 Hf 2.68
Te 0.0000 0.0000 0.5000  2 Hf 2.68
Te 0.0000 0.5000 0.0000  2 Hf 2.68
Te 0.5000 0.0000 0.0000  2 Hf 2.68

The calculation puts the density at 3.03 Mg/m³. The value obtained for the calculated total energy is -34.484 eV/cell. As for the space group: Fd-3m, No. 227.

Q: Among the records above, which one has the lowest density?
A: HfTe2

Q: Which of these has the lowest density?
A: HfTe2

Q: Look up the density of the second one.
A: 10.39 Mg/m³